The following is a DFT calculation (PBE-GGA) of Sm12TmCo6 after structural relaxation.

Computed properties:
- Density: 7.82 g/cm³
- ΔE_f: -74 meV per atom

Unit cell a=9.959 b=9.959 c=9.959 alpha=90.00 beta=90.00 gamma=90.00
Space group Im-3 (No. 204)
Unique sites:
Sm 0.000 0.309 0.195 [24 per cell]
Tm 0.000 0.000 0.000 [2 per cell]
Co 0.000 0.112 0.500 [12 per cell]